{
  "formula": "Zn2FeAg",
  "functional": "PBE-GGA",
  "state": "optimized geometry",
  "cell": [[-1.809, 0.829, 1.922], [-0.557, -1.626, 2.168], [5.767, 3.532, 5.894]],
  "species": ["Zn", "Zn", "Ag", "Fe"],
  "frac_coords": [[0.077, 0.077, 0.768], [0.256, 0.256, 0.232], [0.500, 0.500, 0.500], [0.667, 0.667, 0.000]],
  "space_group": "R3m, No. 160",
  "dft_energy_ev_per_atom": -3.40,
  "magnetic_moment_mub_per_cell": 2.26,
  "polymorph_energy_ev_per_fu": 0.17
}

{
  "formula": "ZrFeAg2",
  "functional": "PBE-GGA",
  "state": "optimized geometry",
  "cell": [[-2.333, 5.104, 0.506], [1.425, -3.075, 4.501], [2.205, 1.472, 0.941]],
  "species": ["Ag", "Ag", "Zr", "Fe"],
  "frac_coords": [[0.000, 0.000, 0.000], [0.500, 0.500, 0.000], [0.000, 0.500, 0.500], [0.500, 0.000, 0.500]],
  "space_group": "C2/m, No. 12",
  "dft_energy_ev_per_atom": -5.39,
  "magnetic_moment_mub_per_cell": 2.16,
  "polymorph_energy_ev_per_fu": 0.72
}

{
  "formula": "ZrFe2Ag",
  "functional": "PBE-GGA",
  "state": "optimized geometry",
  "cell": [[5.182, 0.014, 0.001], [-2.191, 4.696, 0.001], [0.517, 0.814, 2.601]],
  "species": ["Zr", "Fe", "Fe", "Ag"],
  "frac_coords": [[0.500, 0.000, 0.500], [0.500, 0.500, 0.000], [0.000, 0.000, 0.000], [0.000, 0.500, 0.500]],
  "space_group": "C2/m, No. 12",
  "dft_energy_ev_per_atom": -6.76,
  "magnetic_moment_mub_per_cell": 3.98,
  "polymorph_energy_ev_per_fu": 0.95
}

{
  "formula": "Zr2Fe2Ag",
  "functional": "PBE-GGA",
  "state": "optimized geometry",
  "cell": [[-4.574, -5.370, 0.003], [0.315, -0.271, -7.042], [2.626, -2.236, 0.204]],
  "species": ["Fe", "Fe", "Fe", "Fe", "Zr", "Zr", "Zr", "Zr", "Ag", "Ag"],
  "frac_coords": [[0.615, 0.115, 0.000], [0.385, 0.885, 0.000], [0.115, 0.385, 0.000], [0.885, 0.615, 0.000], [0.822, 0.322, 0.500], [0.178, 0.678, 0.500], [0.678, 0.822, 0.500], [0.322, 0.178, 0.500], [0.500, 0.500, 0.000], [0.000, 0.000, 0.000]],
  "space_group": "P4/mbm, No. 127",
  "dft_energy_ev_per_atom": -7.43,
  "magnetic_moment_mub_per_cell": 5.42,
  "polymorph_energy_ev_per_fu": 0.00
}

{
  "formula": "ZrFe2Ag",
  "functional": "PBE-GGA",
  "state": "optimized geometry",
  "cell": [[-2.446, -8.616, 1.210], [-2.518, -8.510, -1.707], [0.001, -9.031, -0.327]],
  "species": ["Fe", "Fe", "Ag", "Zr"],
  "frac_coords": [[0.992, 0.992, 0.992], [0.260, 0.260, 0.260], [0.742, 0.742, 0.742], [0.507, 0.507, 0.507]],
  "space_group": "R3m, No. 160",
  "dft_energy_ev_per_atom": -6.79,
  "magnetic_moment_mub_per_cell": 5.42,
  "polymorph_energy_ev_per_fu": 0.82
}

{
  "formula": "Zr6Fe2Ag",
  "functional": "PBE-GGA",
  "state": "optimized geometry",
  "cell": [[0.024, 7.685, -1.263], [2.673, -4.337, -5.891], [-7.283, -2.607, 0.903]],
  "species": ["Zr", "Zr", "Zr", "Zr", "Zr", "Zr", "Zr", "Zr", "Zr", "Zr", "Zr", "Zr", "Fe", "Fe", "Fe", "Fe", "Ag", "Ag"],
  "frac_coords": [[0.697, 0.023, 0.326], [0.207, 0.229, 0.436], [0.115, 0.300, 0.814], [0.207, 0.771, 0.978], [0.486, 0.300, 0.186], [0.793, 0.771, 0.564], [0.697, 0.371, 0.674], [0.514, 0.700, 0.814], [0.885, 0.700, 0.186], [0.793, 0.229, 0.022], [0.303, 0.977, 0.674], [0.303, 0.629, 0.326], [0.500, 0.634, 0.134], [0.663, 0.000, 0.663], [0.337, 0.000, 0.337], [0.500, 0.366, 0.866], [0.000, 0.500, 0.500], [0.000, 0.000, 0.000]],
  "space_group": "Immm, No. 71",
  "dft_energy_ev_per_atom": -7.98,
  "magnetic_moment_mub_per_cell": 0.00
}

| no. | energy relative to the elements (eV per atom) |
| --- | --- |
| 1 | 0.062 |
| 2 | 0.290 |
| 3 | 0.326 |
| 4 | -0.054 |
| 5 | 0.293 |
| 6 | -0.079 |